DFT (PBE+U) results for Ba2TiV3O12 after structural relaxation.

Calculated values
- Volume: 247.0 Å³/f.u.
- Total energy: -7.361 eV per atom
- Total magnetic moment: 0.042 μB per atom

The structure in POSCAR format:
```
Ba2TiV3O12
1.0
3.525 2.035 5.738
-3.525 2.035 5.738
0.000 -4.071 5.738
Ba Ti V O
2 1 3 12
direct
0.129 0.129 0.129
0.871 0.871 0.871
0.500 0.500 0.500
0.000 0.500 0.500
0.500 0.000 0.500
0.500 0.500 0.000
0.168 0.576 0.576
0.185 0.185 0.570
0.185 0.570 0.185
0.424 0.424 0.832
0.424 0.832 0.424
0.430 0.815 0.815
0.570 0.185 0.185
0.576 0.168 0.576
0.576 0.576 0.168
0.815 0.430 0.815
0.815 0.815 0.430
0.832 0.424 0.424
```